Record 1
First-principles (GGA-PBE) data for PmTl2Sb2Pd7 after structural relaxation, as listed in Alexandria.

Structure (CIF):
```
data_PmTl2Sb2Pd7
_chemical_formula_sum 'Pm2 Tl4 Sb4 Pd14'
_cell_length_a 5.813
_cell_length_b 5.804
_cell_length_c 15.437
_cell_angle_alpha 90.00
_cell_angle_beta 96.17
_cell_angle_gamma 90.00
_symmetry_space_group_name_H-M 'C 1 2/m 1'
_symmetry_Int_Tables_number 12
loop_
_symmetry_equiv_pos_as_xyz
'x,y,z'
'-x,-y,-z'
'-x,y,-z'
'x,-y,z'
'x+1/2,y+1/2,z'
'-x+1/2,-y+1/2,-z'
'-x+1/2,y+1/2,-z'
'x+1/2,-y+1/2,z'
loop_
_atom_site_label
_atom_site_type_symbol
_atom_site_fract_x
_atom_site_fract_y
_atom_site_fract_z
_atom_site_occupancy
Pm1 Pm 0.000 0.000 0.000 1
Tl1 Tl 0.109 0.000 0.407 1
Sb1 Sb 0.074 0.500 0.250 1
Pd1 Pd 0.000 0.500 0.000 1
Pd2 Pd 0.105 0.500 0.421 1
Pd3 Pd 0.208 0.251 0.859 1
```

## Properties
total magnetization	0.0	Bohr magnetons per cell
DOS at the Fermi energy	0.418	states/eV/atom
density	9.9	g cm⁻³
formation energy from raw total energies	-5.0	eV/f.u.

***

Record 2
First-principles (GGA-PBE) data for PmUSbPd after structural relaxation, as listed in Alexandria.

Structure (CIF):
```
data_PmUSbPd
_chemical_formula_sum 'Pm4 U4 Sb4 Pd4'
_cell_length_a 7.289
_cell_length_b 7.289
_cell_length_c 7.289
_cell_angle_alpha 90.00
_cell_angle_beta 90.00
_cell_angle_gamma 90.00
_symmetry_space_group_name_H-M 'F -4 3 m'
_symmetry_Int_Tables_number 216
_symmetry_space_group_name_Hall 'F -4 2 3'
loop_
_atom_site_label
_atom_site_type_symbol
_atom_site_fract_x
_atom_site_fract_y
_atom_site_fract_z
_atom_site_occupancy
Pm1 Pm 0.000 0.000 0.000 1
U1 U 0.250 0.250 0.250 1
Sb1 Sb 0.000 0.000 0.500 1
Pd1 Pd 0.250 0.250 0.750 1
```

## Properties
total magnetization	17.7	Bohr magnetons per cell
DOS at the Fermi energy	2.616	states/eV/atom
density	10.5	g cm⁻³
formation energy from raw total energies	0.4	eV/f.u.

***

Record 3
First-principles (GGA-PBE) data for Pm2ScPd9 after structural relaxation, as listed in Alexandria.

Structure (CIF):
```
data_Pm2ScPd9
_chemical_formula_sum 'Pm2 Sc1 Pd9'
_cell_length_a 4.149
_cell_length_b 4.149
_cell_length_c 12.262
_cell_angle_alpha 90.00
_cell_angle_beta 90.00
_cell_angle_gamma 90.00
_symmetry_space_group_name_H-M 'P 4/m m m'
_symmetry_Int_Tables_number 123
_symmetry_space_group_name_Hall '-P 4 2'
loop_
_atom_site_label
_atom_site_type_symbol
_atom_site_fract_x
_atom_site_fract_y
_atom_site_fract_z
_atom_site_occupancy
Pm1 Pm 0.000 0.000 0.173 1
Sc1 Sc 0.000 0.000 0.500 1
Pd1 Pd 0.000 0.500 0.000 1
Pd2 Pd 0.000 0.500 0.345 1
Pd3 Pd 0.500 0.500 0.171 1
Pd4 Pd 0.500 0.500 0.500 1
```

## Properties
total magnetization	0.0	Bohr magnetons per cell
DFT formation energy	-799	meV/atom
DOS at the Fermi energy	0.756	states/eV/atom
density	10.2	g cm⁻³

***

Record 4
First-principles (GGA-PBE) data for Pm2Sc3Pd4 after structural relaxation, as listed in Alexandria.

Structure (CIF):
```
data_Pm2Sc3Pd4
_chemical_formula_sum 'Pm8 Sc12 Pd16'
_cell_length_a 6.370
_cell_length_b 16.855
_cell_length_c 7.306
_cell_angle_alpha 90.00
_cell_angle_beta 90.00
_cell_angle_gamma 90.00
_symmetry_space_group_name_H-M 'C m c e'
_symmetry_Int_Tables_number 64
_symmetry_space_group_name_Hall '-C 2ac 2'
loop_
_atom_site_label
_atom_site_type_symbol
_atom_site_fract_x
_atom_site_fract_y
_atom_site_fract_z
_atom_site_occupancy
Pm1 Pm 0.000 0.099 0.086 1
Sc1 Sc 0.000 0.000 0.500 1
Sc2 Sc 0.250 0.232 0.750 1
Pd1 Pd 0.000 0.170 0.472 1
Pd2 Pd 0.250 0.068 0.750 1
```

## Properties
total magnetization	0.0	Bohr magnetons per cell
DFT formation energy	-710	meV/atom
DOS at the Fermi energy	1.103	states/eV/atom
density	7.2	g cm⁻³

***

Record 5
First-principles (GGA-PBE) data for PmScPd2 after structural relaxation, as listed in Alexandria.

Structure (CIF):
```
data_PmScPd2
_chemical_formula_sum 'Pm3 Sc3 Pd6'
_cell_length_a 4.6499
_cell_length_b 4.6499
_cell_length_c 13.8501
_cell_angle_alpha 90.00
_cell_angle_beta 90.00
_cell_angle_gamma 120.00
_symmetry_space_group_name_H-M 'R -3 m'
_symmetry_Int_Tables_number 166
_symmetry_space_group_name_Hall '-R 3 2"'
loop_
_atom_site_label
_atom_site_type_symbol
_atom_site_fract_x
_atom_site_fract_y
_atom_site_fract_z
_atom_site_occupancy
Pm1 Pm 0.0000 0.0000 0.0000 1
Sc1 Sc 0.0000 0.0000 0.5000 1
Pd1 Pd 0.0000 0.0000 0.2206 1
```

## Properties
total magnetization	0.0	Bohr magnetons per cell
DFT formation energy	-793	meV/atom
DOS at the Fermi energy	0.816	states/eV/atom
density	7.7	g cm⁻³

***

Record 6
First-principles (GGA-PBE) data for Pm2ScPd2 after structural relaxation, as listed in Alexandria.

Structure (CIF):
```
data_Pm2ScPd2
_chemical_formula_sum 'Pm8 Sc4 Pd8'
_cell_length_a 12.727
_cell_length_b 3.951
_cell_length_c 11.185
_cell_angle_alpha 90.00
_cell_angle_beta 119.63
_cell_angle_gamma 90.00
_symmetry_space_group_name_H-M 'C 1 2/m 1'
_symmetry_Int_Tables_number 12
loop_
_symmetry_equiv_pos_as_xyz
'x,y,z'
'-x,-y,-z'
'-x,y,-z'
'x,-y,z'
'x+1/2,y+1/2,z'
'-x+1/2,-y+1/2,-z'
'-x+1/2,y+1/2,-z'
'x+1/2,-y+1/2,z'
loop_
_atom_site_label
_atom_site_type_symbol
_atom_site_fract_x
_atom_site_fract_y
_atom_site_fract_z
_atom_site_occupancy
Pm1 Pm 0.040 0.000 0.192 1
Pm2 Pm 0.172 0.000 0.585 1
Sc1 Sc 0.208 0.500 0.864 1
Pd1 Pd 0.010 0.500 0.377 1
Pd2 Pd 0.129 0.500 0.056 1
```

## Properties
total magnetization	0.0	Bohr magnetons per cell
DFT formation energy	-688	meV/atom
DOS at the Fermi energy	0.832	states/eV/atom
density	7.4	g cm⁻³

***

Record 7
First-principles (GGA-PBE) data for Pm2ScPd after structural relaxation, as listed in Alexandria.

Structure (CIF):
```
data_Pm2ScPd
_chemical_formula_sum 'Pm6 Sc3 Pd3'
_cell_length_a 3.6357
_cell_length_b 3.6357
_cell_length_c 29.0173
_cell_angle_alpha 90.00
_cell_angle_beta 90.00
_cell_angle_gamma 120.00
_symmetry_space_group_name_H-M 'R 3 m'
_symmetry_Int_Tables_number 160
_symmetry_space_group_name_Hall 'R 3 -2"'
loop_
_atom_site_label
_atom_site_type_symbol
_atom_site_fract_x
_atom_site_fract_y
_atom_site_fract_z
_atom_site_occupancy
Pm1 Pm 0.0000 0.0000 0.0000 1
Pm2 Pm 0.0000 0.0000 0.1898 1
Sc1 Sc 0.0000 0.0000 0.4279 1
Pd1 Pd 0.0000 0.0000 0.5956 1
```

## Properties
total magnetization	0.0	Bohr magnetons per cell
DFT formation energy	-189	meV/atom
DOS at the Fermi energy	1.210	states/eV/atom
density	6.6	g cm⁻³

***

Record 8
First-principles (GGA-PBE) data for Pm2ScPd after structural relaxation, as listed in Alexandria.

Structure (CIF):
```
data_Pm2ScPd
_chemical_formula_sum 'Pm2 Sc1 Pd1'
_cell_length_a 5.275
_cell_length_b 5.275
_cell_length_c 3.674
_cell_angle_alpha 90.00
_cell_angle_beta 90.00
_cell_angle_gamma 90.00
_symmetry_space_group_name_H-M 'P 4/m m m'
_symmetry_Int_Tables_number 123
_symmetry_space_group_name_Hall '-P 4 2'
loop_
_atom_site_label
_atom_site_type_symbol
_atom_site_fract_x
_atom_site_fract_y
_atom_site_fract_z
_atom_site_occupancy
Pm1 Pm 0.000 0.500 0.000 1
Sc1 Sc 0.000 0.000 0.500 1
Pd1 Pd 0.500 0.500 0.500 1
```

## Properties
total magnetization	0.0	Bohr magnetons per cell
DFT formation energy	-253	meV/atom
DOS at the Fermi energy	0.982	states/eV/atom
density	7.2	g cm⁻³